1.
DFT (PBE) results for a relaxed structure of VPdS.

Structure (POSCAR):
```
VPdS
1.0
-1.467 1.467 5.967
1.467 -1.467 5.967
1.467 1.467 -5.967
V Pd S
1 1 1
Direct
0.000 0.000 0.000
0.808 0.808 0.000
0.592 0.592 0.000
```

## Properties
Its offset from the most stable computed form is 0.00 eV/f.u. The formation energy without anion corrections comes out at -0.199 eV/atom. The space group is No. 107.

2.
DFT (PBE) results for a relaxed structure of Ti3As.

Structure (POSCAR):
```
Ti3As
1.0
-1.939 1.939 4.275
1.939 -1.939 4.275
1.939 1.939 -4.275
Ti As
3 1
Direct
0.000 0.000 0.000
0.250 0.750 0.500
0.750 0.250 0.500
0.500 0.500 0.000
```

## Properties
Its offset from the most stable computed form is 0.91 eV/f.u. As for the formation energy: -0.438 eV per atom. The space group is No. 139.

3.
DFT (PBE) results for a relaxed structure of CaYIr.

Structure (POSCAR):
```
CaYIr
1.0
5.947 -2.062 0.000
5.947 2.062 0.000
-4.801 0.000 6.562
Ca Y Ir
2 2 2
Direct
0.078 0.078 0.365
0.922 0.922 0.635
0.314 0.314 0.911
0.686 0.686 0.089
0.376 0.376 0.314
0.624 0.624 0.686
```

## Properties
Its offset from the most stable computed form is 0.00 eV/f.u. As for the formation energy: -0.520 eV per atom. The space group is No. 12.

4.
DFT (PBE) results for a relaxed structure of Rb3LaHo2Te6.

Structure (POSCAR):
```
Rb3LaHo2Te6
1.0
3.974 -6.885 0.000
3.974 6.885 0.000
-2.655 0.000 8.548
Rb La Ho Te
3 1 2 6
Direct
0.000 0.000 0.000
0.336 0.664 0.000
0.664 0.336 0.000
0.500 0.500 0.500
0.167 0.833 0.500
0.833 0.167 0.500
0.088 0.433 0.299
0.221 0.221 0.700
0.433 0.088 0.299
0.567 0.912 0.701
0.779 0.779 0.300
0.912 0.567 0.701
```

## Properties
The formation energy without anion corrections comes out at -1.411 eV/atom. The space group is No. 12.

5.
DFT (PBE) results for a relaxed structure of AcPmDy.

Structure (POSCAR):
```
AcPmDy
1.0
5.076 0.000 0.000
0.000 5.076 0.000
0.000 0.000 8.992
Ac Pm Dy
2 2 2
Direct
0.250 0.250 0.176
0.750 0.750 0.824
0.250 0.750 0.500
0.750 0.250 0.500
0.250 0.250 0.773
0.750 0.750 0.227
```

## Properties
Its offset from the most stable computed form is 0.53 eV/f.u. As for the formation energy: 0.227 eV per atom. The space group is No. 129.

6.
DFT (PBE) results for a relaxed structure of HoAlCoRh.

Structure (POSCAR):
```
HoAlCoRh
1.0
0.000 3.164 3.164
3.164 0.000 3.164
3.164 3.164 0.000
Ho Al Co Rh
1 1 1 1
Direct
0.000 0.000 0.000
0.500 0.500 0.500
0.250 0.250 0.250
0.750 0.750 0.750
```

## Properties
As for the formation energy: -0.595 eV per atom. The space group is No. 216.

7.
DFT (PBE) results for a relaxed structure of Ac3SmGe2N6.

Structure (POSCAR):
```
Ac3SmGe2N6
1.0
6.157 0.000 0.000
-3.078 5.332 0.000
0.000 0.000 6.739
Ac Sm Ge N
3 1 2 6
Direct
0.000 0.000 0.000
0.333 0.667 0.633
0.667 0.333 0.367
0.000 0.000 0.500
0.333 0.667 0.171
0.667 0.333 0.829
0.175 0.351 0.290
0.175 0.825 0.290
0.351 0.175 0.710
0.649 0.825 0.290
0.825 0.175 0.710
0.825 0.649 0.710
```

## Properties
The formation energy without anion corrections comes out at -0.743 eV/atom. The space group is No. 164.

8.
DFT (PBE) results for a relaxed structure of CsGePO2.

Structure (POSCAR):
```
CsGePO2
1.0
4.194 0.000 0.000
0.000 4.194 0.000
0.000 0.000 7.053
Cs Ge P O
1 1 1 2
Direct
0.000 0.000 0.000
0.500 0.500 0.500
0.000 0.000 0.500
0.000 0.500 0.000
0.500 0.000 0.000
```

## Properties
Its offset from the most stable computed form is 5.86 eV/f.u. The formation energy without anion corrections comes out at 0.951 eV/atom. The space group is No. 123.

In order of appearance, calculated density = 6.1, 5.6, 6.6, 5.3, 7.7, 9.3, 8.0, 3.6 g/cm³.